(1)
Here is a relaxed structure of Mg5Cu4Pd from Alexandria. Energies are from GGA-PBE.

Values from the calculation:
Energy relative to the elements   -0.2266 eV/atom

Cell: 3.1644 3.1644 15.7621 Å, 90.00 90.00 90.00°
With the nearest neighbours (Å) after each atom.
Fractional coordinates of all 10 atoms:
Cu: 0.0000 0.0000 0.2028  8 Mg 2.73-2.75
Cu: 0.0000 0.0000 0.4012  8 Mg 2.73
Cu: 0.0000 0.0000 0.7972  8 Mg 2.73-2.75
Cu: 0.0000 0.0000 0.5988  8 Mg 2.73
Mg: 0.5000 0.5000 0.3018  8 Cu 2.73
Mg: 0.5000 0.5000 0.5000  8 Cu 2.73
Mg: 0.5000 0.5000 0.8990  4 Pd 2.75, 4 Cu 2.75
Mg: 0.5000 0.5000 0.1010  4 Pd 2.75, 4 Cu 2.75
Mg: 0.5000 0.5000 0.6982  8 Cu 2.73
Pd: 0.0000 0.0000 0.0000  8 Mg 2.75

(2)
Here is a relaxed structure of DyMg4Sn2 from Alexandria. Energies are from GGA-PBE.

Values from the calculation:
Energy relative to the elements   -0.2618 eV/atom

Cell: 4.5763 8.6539 8.6539 Å, 90.00 90.00 90.00°
With the nearest neighbours (Å) after each atom.
Fractional coordinates of all 14 atoms:
Mg: 0.0000 0.8985 0.6449  3 Sn 2.91-2.93, 6 Mg 3.06-3.15
Mg: 0.0000 0.6449 0.8985  3 Sn 2.91-2.93, 6 Mg 3.06-3.15
Mg: 0.5000 0.3985 0.8551  3 Sn 2.91-2.93, 6 Mg 3.06-3.15
Mg: 0.5000 0.8551 0.3985  3 Sn 2.91-2.93, 6 Mg 3.06-3.15
Mg: 0.5000 0.6015 0.1449  3 Sn 2.91-2.93, 6 Mg 3.06-3.15
Mg: 0.5000 0.1449 0.6015  3 Sn 2.91-2.93, 6 Mg 3.06-3.15
Mg: 0.0000 0.3551 0.1015  3 Sn 2.91-2.93, 6 Mg 3.06-3.15
Mg: 0.0000 0.1015 0.3551  3 Sn 2.91-2.93, 6 Mg 3.06-3.15
Sn: 0.5000 0.3069 0.3069  6 Mg 2.91-2.93
Sn: 0.0000 0.8069 0.1931  6 Mg 2.91-2.93
Sn: 0.5000 0.6931 0.6931  6 Mg 2.91-2.93
Sn: 0.0000 0.1931 0.8069  6 Mg 2.91-2.93
Dy: 0.0000 0.5000 0.5000  4 Sn 3.29, 4 Mg 3.67
Dy: 0.5000 0.0000 0.0000  4 Sn 3.29, 4 Mg 3.67

(3)
Here is a relaxed structure of Nd6Bi2Te3I from Alexandria. Energies are from GGA-PBE.

Values from the calculation:
Energy relative to the elements, uncorrected   -1.176 eV/atom

Cell: 4.5590 9.0923 10.2131 Å, 102.74 102.90 90.00°
With the nearest neighbours (Å) after each atom.
Fractional coordinates of all 12 atoms:
Bi: 0.8338 0.6690 0.6675  6 Nd 3.19-3.25
Bi: 0.1662 0.3310 0.3325  6 Nd 3.19-3.25
Nd: 0.6798 0.0893 0.3597  3 Te 3.11-3.22, 2 Bi 3.22
Nd: 0.6668 0.5853 0.3335  3 Te 3.23, 3 Bi 3.24-3.25
Nd: 0.3202 0.9107 0.6403  3 Te 3.11-3.22, 2 Bi 3.22
Nd: 0.9976 0.7234 0.9953  3 Te 3.06-3.16, 1 Bi 3.19, 2 I 3.39
Nd: 0.0024 0.2766 0.0047  3 Te 3.06-3.16, 1 Bi 3.19, 2 I 3.39
Nd: 0.3332 0.4147 0.6665  3 Te 3.23, 3 Bi 3.24-3.25
Te: 0.1598 0.8336 0.3196  6 Nd 3.11-3.23
Te: 0.8402 0.1664 0.6804  6 Nd 3.11-3.23
Te: 0.5000 0.5000 0.0000  6 Nd 3.06-3.23
I: 0.5000 0.0000 0.0000  6 Nd 3.39-3.49

(4)
Here is a relaxed structure of NbAlZn3 from Alexandria. Energies are from GGA-PBE.

Values from the calculation:
Energy relative to the elements   0.9045 eV/atom
Energy above the lowest structure with this stoichiometry   0.00 eV/f.u.

Cell: 4.5574 4.5574 4.5574 Å, 90.00 90.00 90.00°
With the nearest neighbours (Å) after each atom.
Fractional coordinates of all 5 atoms:
Nb: 0.5000 0.5000 0.5000  12 Zn 3.22
Zn: 0.5000 0.0000 0.0000  2 Al 2.28
Zn: 0.0000 0.0000 0.5000  2 Al 2.28
Zn: 0.0000 0.5000 0.0000  2 Al 2.28
Al: 0.0000 0.0000 0.0000  6 Zn 2.28